1.
Here is crystalline MoIrOs2 at its relaxed geometry from OQMD. Energies are from PBE.

The structure belongs to space group F-43m (No. 216); the cell edges are 6.2263, 6.2263 and 6.2263 Å and the angles 90.00°, 90.00° and 90.00°. The inequivalent atoms are Mo at (0.0000, 0.0000, 0.0000), Ir at (0.2500, 0.2500, 0.2500), Os at (0.0000, 0.0000, 0.5000) and Os at (0.2500, 0.2500, 0.7500).

Its energy above the lowest structure with this stoichiometry is 736.0 meV/atom. The calculation puts the formation energy at 0.5375 eV/atom.


2.
Here is crystalline KPrSe4 at its relaxed geometry from OQMD. Energies are from PBE.

The structure belongs to space group P4/nbm (No. 125, origin choice 2); the cell edges are 6.4092, 6.4092 and 8.4657 Å and the angles 90.00°, 90.00° and 90.00°. The inequivalent atoms are K at (0.2500, 0.2500, 0.0000), Pr at (0.2500, 0.2500, 0.5000) and Se at (0.1159, 0.6159, 0.2841).

The total energy is -4.475 eV per atom.


3.
Here is crystalline YFePd at its relaxed geometry from OQMD. Energies are from PBE.

The structure belongs to space group F-43m (No. 216); the cell edges are 6.4016, 6.4016 and 6.4016 Å and the angles 90.00°, 90.00° and 90.00°. The inequivalent atoms are Y at (0.0000, 0.0000, 0.0000), Fe at (0.0000, 0.0000, 0.5000) and Pd at (0.2500, 0.2500, 0.7500).

The calculation puts the formation energy at -0.0091 eV/atom.


4.
Here is crystalline LaGdGe2Ir at its relaxed geometry from OQMD. Energies are from PBE.

The structure belongs to space group C2/m (No. 12); the cell edges are 11.0022, 4.2810 and 11.1476 Å and the angles 90.00°, 117.46° and 90.00°. The inequivalent atoms are La at (0.2070, 0.0000, 0.1490), Gd at (0.0927, 0.5000, 0.3914), Ge at (0.0446, 0.5000, 0.9150), Ge at (0.1168, 0.0000, 0.6095) and Ir at (0.0538, 0.0000, 0.8035).

The total energy is -6.408 eV per atom.


5.
Here is crystalline TaCoB2 at its relaxed geometry from OQMD. Energies are from PBE.

The structure belongs to space group Pnma (No. 62); the cell edges are 5.9574, 3.1422 and 8.1708 Å and the angles 90.00°, 90.00° and 90.00°. The inequivalent atoms are Ta at (0.1368, 0.2500, 0.1325), Co at (0.0073, 0.7500, 0.3858), B at (0.1644, 0.2500, 0.8302) and B at (0.2345, 0.2500, 0.4240).

The total energy is -8.714 eV per atom.


6.
Here is crystalline BaNaCd6 at its relaxed geometry from OQMD. Energies are from PBE.

The structure belongs to space group P-6m2 (No. 187); the cell edges are 7.0588, 7.0588 and 5.2101 Å and the angles 90.00°, 90.00° and 120.00°. The inequivalent atoms are Ba at (0.0000, 0.0000, 0.0000), Na at (0.3333, 0.6667, 0.5000), Cd at (0.3752, 0.1876, 0.5000) and Cd at (0.5045, 0.0090, 0.0000).

The total energy is -1.215 eV per atom.


7.
Here is crystalline BeTcSnAs at its relaxed geometry from OQMD. Energies are from PBE.

The structure belongs to space group F-43m (No. 216); the cell edges are 6.3607, 6.3607 and 6.3607 Å and the angles 90.00°, 90.00° and 90.00°. The inequivalent atoms are Be at (0.0000, 0.0000, 0.0000), Tc at (0.0000, 0.0000, 0.5000), Sn at (0.2500, 0.2500, 0.7500) and As at (0.2500, 0.2500, 0.2500).

Its energy above the lowest structure with this stoichiometry is 0.0 meV/atom.


8.
Here is crystalline NdSbBr2O2 at its relaxed geometry from OQMD. Energies are from PBE.

The structure belongs to space group P4mm (No. 99); the cell edges are 3.9093, 3.9093 and 8.2001 Å and the angles 90.00°, 90.00° and 90.00°. The inequivalent atoms are Nd at (0.0000, 0.0000, 0.0000), Sb at (0.5000, 0.5000, 0.7031), Br at (0.0000, 0.0000, 0.5012), Br at (0.5000, 0.5000, 0.1851) and O at (0.0000, 0.5000, 0.8419).

The total energy is -5.608 eV per atom.


9.
Here is crystalline NdCoSi2Ir at its relaxed geometry from OQMD. Energies are from PBE.

The structure belongs to space group I-4m2 (No. 119); the cell edges are 4.0201, 4.0201 and 10.1680 Å and the angles 90.00°, 90.00° and 90.00°. The inequivalent atoms are Nd at (0.0000, 0.0000, 0.0000), Co at (0.0000, 0.5000, 0.7500), Si at (0.0000, 0.0000, 0.3736) and Ir at (0.0000, 0.5000, 0.2500).

The total energy is -7.220 eV per atom.


10.
Here is crystalline Zr3Nb3W2N12 at its relaxed geometry from OQMD. Energies are from PBE.

The structure belongs to space group Ia-3d (No. 230); the cell edges are 12.5158, 12.5158 and 12.5158 Å and the angles 90.00°, 90.00° and 90.00°. The inequivalent atoms are Zr at (0.0000, 0.2500, 0.1250), Nb at (0.0000, 0.2500, 0.3750), W at (0.0000, 0.0000, 0.0000) and N at (0.0263, 0.0630, 0.6489).

The total energy is -9.818 eV per atom.


11.
Here is crystalline TmAgPbS3 at its relaxed geometry from OQMD. Energies are from PBE.

The structure belongs to space group Pnma (No. 62); the cell edges are 11.9280, 4.0293 and 11.7279 Å and the angles 90.00°, 90.00° and 90.00°. The inequivalent atoms are Tm at (0.0287, 0.2500, 0.1644), Ag at (0.2419, 0.7500, 0.3200), Pb at (0.1613, 0.2500, 0.5245), S at (0.0308, 0.7500, 0.3335), S at (0.0855, 0.2500, 0.9332) and S at (0.2462, 0.7500, 0.6711).

Its energy above the lowest structure with this stoichiometry is 57.2 meV/atom.


12.
Here is crystalline NbInAgSe3 at its relaxed geometry from OQMD. Energies are from PBE.

The structure belongs to space group Cmcm (No. 63); the cell edges are 3.7397, 14.2258 and 10.3492 Å and the angles 90.00°, 90.00° and 90.00°. The inequivalent atoms are Nb at (0.0000, 0.0000, 0.0000), In at (0.0000, 0.2552, 0.2500), Ag at (0.0000, 0.4394, 0.7500), Se at (0.0000, 0.0726, 0.7500) and Se at (0.0000, 0.3668, 0.5241).

The total energy is -4.717 eV per atom.